Material: Sb2AsSe
Method: DFT, SCAN
State: single point on PBEsol structure

Computed properties:
As for the offset from the most stable computed form: 0.000 eV/atom. As for the total magnetization: 0.00 μB per atom. The value obtained for the formation energy (no corrections) is 0.00 eV per atom. As for the crystal system: trigonal. The calculation puts the calculated total energy at -114.778 eV/cell. The symmetry is No. 166.

Cell: 4.253 4.253 6.761 Å, 71.67 71.67 60.00°
Sites, in units of the cell vectors:
Sb 0.746 0.746 0.761
Sb 0.254 0.254 0.239
As 0.000 0.000 0.000
Se 0.500 0.500 0.500